Below is a geometry-optimized Tb2Tm3Mg7 structure, with properties calculated at the GGA-PBE level.

## Properties
Calculated total energy   -64.4 eV for the cell shown

The structure in CIF format:
```
data_Tb2Tm3Mg7
_chemical_formula_sum 'Tb4 Tm6 Mg14'
_cell_length_a 5.1240
_cell_length_b 25.9792
_cell_length_c 5.1161
_cell_angle_alpha 90.00
_cell_angle_beta 90.00
_cell_angle_gamma 90.00
_space_group_name_H-M_alt 'C m m m'
_space_group_IT_number 65
_space_group_name_Hall '-C 2 2'
loop_
_atom_site_label
_atom_site_type_symbol
_atom_site_fract_x
_atom_site_fract_y
_atom_site_fract_z
Tb1 Tb 0.0000 0.1445 0.0000
Tm1 Tm 0.0000 0.3457 0.5000
Tm2 Tm 0.0000 0.5000 0.5000
Mg1 Mg 0.0000 0.0000 0.0000
Mg2 Mg 0.0000 0.0710 0.5000
Mg3 Mg 0.0000 0.2723 0.0000
Mg4 Mg 0.0000 0.4292 0.0000
```

Below is a geometry-optimized TbTmMg2 structure, with properties calculated at the GGA-PBE level.

## Properties
Calculated total energy   -12.6 eV for the cell shown

The structure in CIF format:
```
data_TbTmMg2
_chemical_formula_sum 'Tb1 Tm1 Mg2'
_cell_length_a 5.3368
_cell_length_b 5.3368
_cell_length_c 3.7782
_cell_angle_alpha 90.00
_cell_angle_beta 90.00
_cell_angle_gamma 90.00
_space_group_name_H-M_alt 'P 4/m m m'
_space_group_IT_number 123
_space_group_name_Hall '-P 4 2'
loop_
_atom_site_label
_atom_site_type_symbol
_atom_site_fract_x
_atom_site_fract_y
_atom_site_fract_z
Tb1 Tb 0.0000 0.0000 0.0000
Tm1 Tm 0.5000 0.5000 0.0000
Mg1 Mg 0.0000 0.5000 0.5000
```

Below is a geometry-optimized TbTm5Mg3 structure, with properties calculated at the GGA-PBE level.

## Properties
Calculated total energy   -113.5 eV for the cell shown

The structure in CIF format:
```
data_TbTm5Mg3
_chemical_formula_sum 'Tb4 Tm20 Mg12'
_cell_length_a 11.3002
_cell_length_b 9.0313
_cell_length_c 11.9095
_cell_angle_alpha 90.00
_cell_angle_beta 104.59
_cell_angle_gamma 90.00
_space_group_name_H-M_alt 'C 1 2/m 1'
_space_group_IT_number 12
_space_group_name_Hall '-C 2y'
loop_
_atom_site_label
_atom_site_type_symbol
_atom_site_fract_x
_atom_site_fract_y
_atom_site_fract_z
Tb1 Tb 0.1169 0.0000 0.2653
Tm1 Tm 0.0000 0.3084 0.0000
Tm2 Tm 0.0878 0.5000 0.6326
Tm3 Tm 0.1775 0.1831 0.7983
Tm4 Tm 0.2246 0.5000 0.9322
Mg1 Mg 0.0000 0.0000 0.0000
Mg2 Mg 0.0000 0.0000 0.5000
Mg3 Mg 0.0789 0.5000 0.2120
Mg4 Mg 0.2367 0.5000 0.4387
```

Below is a geometry-optimized Tb3Tm2Mg2 structure, with properties calculated at the GGA-PBE level.

## Properties
Energy relative to the lowest polymorph listed for this composition   0.00 eV/f.u.
Calculated total energy   -78.5 eV for the cell shown

The structure in CIF format:
```
data_Tb3Tm2Mg2
_chemical_formula_sum 'Tb9 Tm6 Mg6'
_cell_length_a 5.4115
_cell_length_b 5.4115
_cell_length_c 23.8757
_cell_angle_alpha 90.00
_cell_angle_beta 90.00
_cell_angle_gamma 120.00
_space_group_name_H-M_alt 'R -3 m'
_space_group_IT_number 166
_space_group_name_Hall '-R 3 2"'
loop_
_atom_site_label
_atom_site_type_symbol
_atom_site_fract_x
_atom_site_fract_y
_atom_site_fract_z
Tb1 Tb 0.0000 0.0000 0.0000
Tb2 Tb 0.0000 0.0000 0.1552
Tm1 Tm 0.0000 0.0000 0.4273
Mg1 Mg 0.0000 0.0000 0.2896
```

Below is a geometry-optimized Tb4Tm2Mg structure, with properties calculated at the GGA-PBE level.

## Properties
Energy relative to the lowest polymorph listed for this composition   0.00 eV/f.u.
Calculated total energy   -56.6 eV for the cell shown

The structure in CIF format:
```
data_Tb4Tm2Mg
_chemical_formula_sum 'Tb8 Tm4 Mg2'
_cell_length_a 5.9284
_cell_length_b 6.5471
_cell_length_c 11.4228
_cell_angle_alpha 90.00
_cell_angle_beta 105.07
_cell_angle_gamma 90.00
_space_group_name_H-M_alt 'P 1 21/m 1'
_space_group_IT_number 11
_space_group_name_Hall '-P 2yb'
loop_
_atom_site_label
_atom_site_type_symbol
_atom_site_fract_x
_atom_site_fract_y
_atom_site_fract_z
Tb1 Tb 0.0196 0.2500 0.3741
Tb2 Tb 0.1546 0.2500 0.9400
Tb3 Tb 0.3598 0.0018 0.2132
Tm1 Tm 0.2721 0.7500 0.9224
Tm2 Tm 0.4035 0.7500 0.4952
Mg1 Mg 0.1449 0.2500 0.6638
```

Below is a geometry-optimized Tb3TmMg8 structure, with properties calculated at the GGA-PBE level.

## Properties
Calculated total energy   -31.9 eV for the cell shown

The structure in CIF format:
```
data_Tb3TmMg8
_chemical_formula_sum 'Tb3 Tm1 Mg8'
_cell_length_a 6.0639
_cell_length_b 6.0639
_cell_length_c 9.7559
_cell_angle_alpha 90.00
_cell_angle_beta 90.00
_cell_angle_gamma 120.00
_space_group_name_H-M_alt 'P 3 m 1'
_space_group_IT_number 156
_space_group_name_Hall 'P 3 -2"'
loop_
_atom_site_label
_atom_site_type_symbol
_atom_site_fract_x
_atom_site_fract_y
_atom_site_fract_z
Tb1 Tb 0.0000 0.0000 0.0000
Tb2 Tb 0.0000 0.0000 0.3722
Tb3 Tb 0.3333 0.6667 0.8690
Tm1 Tm 0.3333 0.6667 0.4983
Mg1 Mg 0.0083 0.5041 0.1854
Mg2 Mg 0.3253 0.1627 0.6843
Mg3 Mg 0.6667 0.3333 0.4348
Mg4 Mg 0.6667 0.3333 0.9347
```

Result set for formation enthalpy at 0 K: 13.15, -7.02, 36.50, -1.86, 10.20, -6.52 kJ/mol of atoms, one per record in the order listed.